# 1
# Tb8Nd6Dy (GGA-PBE, relaxed)
# Polymorph energy (0 for the lowest one) = 59 meV/atom
# Formation energy from the elements = 4.1 kcal/mol of atoms
data_Tb8Nd6Dy
_symmetry_space_group_name_H-M 'P -3'
_symmetry_Int_Tables_number 147
_cell_length_a 9.4312
_cell_length_b 9.4312
_cell_length_c 6.5781
_cell_angle_alpha 90.00
_cell_angle_beta 90.00
_cell_angle_gamma 120.00
loop_
_symmetry_equiv_pos_as_xyz
'x,y,z'
'-x,-y,-z'
'-y,x-y,z'
'y,-x+y,-z'
'-x+y,-x,z'
'x-y,x,-z'
loop_
_atom_site_label
_atom_site_fract_x
_atom_site_fract_y
_atom_site_fract_z
Tb1 0.0924 0.6554 0.3424
Tb2 0.3333 0.6667 0.8816
Nd1 0.0326 0.7457 0.8353
Dy1 0.0000 0.0000 0.5000

# 2
# TbNd5Dy5 (GGA-PBE, relaxed)
# Formation energy from the elements = 5.9 kcal/mol of atoms
data_TbNd5Dy5
_symmetry_space_group_name_H-M 'C 1 2/m 1'
_symmetry_Int_Tables_number 12
_cell_length_a 18.9930
_cell_length_b 6.0151
_cell_length_c 7.0463
_cell_angle_alpha 90.00
_cell_angle_beta 111.59
_cell_angle_gamma 90.00
loop_
_symmetry_equiv_pos_as_xyz
'x,y,z'
'-x,-y,-z'
'-x,y,-z'
'x,-y,z'
'x+1/2,y+1/2,z'
'-x+1/2,-y+1/2,-z'
'-x+1/2,y+1/2,-z'
'x+1/2,-y+1/2,z'
loop_
_atom_site_label
_atom_site_fract_x
_atom_site_fract_y
_atom_site_fract_z
Tb1 0.0000 0.0000 0.0000
Nd1 0.0000 0.5000 0.0000
Nd2 0.1758 0.0000 0.4206
Nd3 0.1759 0.0000 0.9319
Dy1 0.0000 0.0000 0.5000
Dy2 0.1229 0.5000 0.6244
Dy3 0.1691 0.5000 0.1703

# 3
# TbNd8Dy6 (GGA-PBE, relaxed)
# Polymorph energy (0 for the lowest one) = 52 meV/atom
# Formation energy from the elements = 4.0 kcal/mol of atoms
data_TbNd8Dy6
_symmetry_space_group_name_H-M 'P -3'
_symmetry_Int_Tables_number 147
_cell_length_a 9.4631
_cell_length_b 9.4631
_cell_length_c 6.5860
_cell_angle_alpha 90.00
_cell_angle_beta 90.00
_cell_angle_gamma 120.00
loop_
_symmetry_equiv_pos_as_xyz
'x,y,z'
'-x,-y,-z'
'-y,x-y,z'
'y,-x+y,-z'
'-x+y,-x,z'
'x-y,x,-z'
loop_
_atom_site_label
_atom_site_fract_x
_atom_site_fract_y
_atom_site_fract_z
Tb1 0.0000 0.0000 0.0000
Nd1 0.0365 0.7501 0.6673
Nd2 0.3333 0.6667 0.6204
Dy1 0.0935 0.6558 0.1584

# 4
# Tb8Nd2Dy (GGA-PBE, relaxed)
# Polymorph energy (0 for the lowest one) = 137 meV/atom
# Formation energy from the elements = 3.6 kcal/mol of atoms
data_Tb8Nd2Dy
_symmetry_space_group_name_H-M 'C 1 2/m 1'
_symmetry_Int_Tables_number 12
_cell_length_a 9.0566
_cell_length_b 16.1795
_cell_length_c 5.9230
_cell_angle_alpha 90.00
_cell_angle_beta 123.00
_cell_angle_gamma 90.00
loop_
_symmetry_equiv_pos_as_xyz
'x,y,z'
'-x,-y,-z'
'-x,y,-z'
'x,-y,z'
'x+1/2,y+1/2,z'
'-x+1/2,-y+1/2,-z'
'-x+1/2,y+1/2,-z'
'x+1/2,-y+1/2,z'
loop_
_atom_site_label
_atom_site_fract_x
_atom_site_fract_y
_atom_site_fract_z
Tb1 0.0000 0.2067 0.0000
Tb2 0.0744 0.5000 0.7959
Tb3 0.2144 0.1156 0.6745
Nd1 0.0000 0.3069 0.5000
Dy1 0.0000 0.0000 0.0000

# 5
# Tb6Nd12Dy (GGA-PBE, relaxed)
# Polymorph energy (0 for the lowest one) = 101 meV/atom
# Formation energy from the elements = 5.4 kcal/mol of atoms
data_Tb6Nd12Dy
_symmetry_space_group_name_H-M 'R -3'
_symmetry_Int_Tables_number 148
_symmetry_space_group_name_Hall '-R 3'
_cell_length_a 14.8968
_cell_length_b 14.8968
_cell_length_c 10.4988
_cell_angle_alpha 90.00
_cell_angle_beta 90.00
_cell_angle_gamma 120.00
loop_
_atom_site_label
_atom_site_fract_x
_atom_site_fract_y
_atom_site_fract_z
Tb1 0.0494 0.2107 0.2589
Nd1 0.0520 0.2530 0.5780
Nd2 0.0650 0.2280 0.9200
Dy1 0.0000 0.0000 0.5000

# 6
# Tb4Nd4Dy (GGA-PBE, relaxed)
# Formation energy from the elements = 0.4 kcal/mol of atoms
data_Tb4Nd4Dy
_symmetry_space_group_name_H-M 'C 1 2/m 1'
_symmetry_Int_Tables_number 12
_cell_length_a 11.3942
_cell_length_b 5.1194
_cell_length_c 10.8406
_cell_angle_alpha 90.00
_cell_angle_beta 108.32
_cell_angle_gamma 90.00
loop_
_symmetry_equiv_pos_as_xyz
'x,y,z'
'-x,-y,-z'
'-x,y,-z'
'x,-y,z'
'x+1/2,y+1/2,z'
'-x+1/2,-y+1/2,-z'
'-x+1/2,y+1/2,-z'
'x+1/2,-y+1/2,z'
loop_
_atom_site_label
_atom_site_fract_x
_atom_site_fract_y
_atom_site_fract_z
Tb1 0.1662 0.0000 0.0542
Tb2 0.1678 0.0000 0.7237
Nd1 0.0006 0.5000 0.8329
Nd2 0.1668 0.0000 0.3890
Dy1 0.0000 0.5000 0.5000

# 7
# Tb6NdDy3 (GGA-PBE, relaxed)
# Polymorph energy (0 for the lowest one) = 0 meV/atom
# Formation energy from the elements = 3.4 kcal/mol of atoms
data_Tb6NdDy3
_symmetry_space_group_name_H-M 'C m c 21'
_symmetry_Int_Tables_number 36
_cell_length_a 11.0505
_cell_length_b 19.0251
_cell_length_c 6.2070
_cell_angle_alpha 90.00
_cell_angle_beta 90.00
_cell_angle_gamma 90.00
loop_
_symmetry_equiv_pos_as_xyz
'x,y,z'
'-x,-y,z+1/2'
'-x,y,z'
'x,-y,z+1/2'
'x+1/2,y+1/2,z'
'-x+1/2,-y+1/2,z+1/2'
'-x+1/2,y+1/2,z'
'x+1/2,-y+1/2,z+1/2'
loop_
_atom_site_label
_atom_site_fract_x
_atom_site_fract_y
_atom_site_fract_z
Tb1 0.0000 0.0446 0.0000
Tb2 0.0000 0.2812 0.7317
Tb3 0.1651 0.4546 0.6262
Tb4 0.2462 0.2899 0.4583
Nd1 0.0000 0.2040 0.2303
Dy1 0.0000 0.3889 0.1623
Dy2 0.1722 0.1104 0.5502

# 8
# TbNd12Dy7 (GGA-PBE, relaxed)
# Polymorph energy (0 for the lowest one) = 86 meV/atom
# Formation energy from the elements = 5.4 kcal/mol of atoms
data_TbNd12Dy7
_symmetry_space_group_name_H-M 'R -3'
_symmetry_Int_Tables_number 148
_symmetry_space_group_name_Hall '-R 3'
_cell_length_a 19.6700
_cell_length_b 19.6700
_cell_length_c 6.2402
_cell_angle_alpha 90.00
_cell_angle_beta 90.00
_cell_angle_gamma 120.00
loop_
_atom_site_label
_atom_site_fract_x
_atom_site_fract_y
_atom_site_fract_z
Tb1 0.0000 0.0000 0.0000
Nd1 0.9998 0.4121 0.5001
Nd2 0.0976 0.5486 0.9645
Dy1 0.0000 0.0000 0.5000
Dy2 0.0814 0.1634 0.7926

> Among the records above, which one has the lowest formation energy from the elements?

Tb4Nd4Dy